Record 1
Below is crystalline Tb2ZrFe at its relaxed geometry, with properties calculated at the PBE level. Values from VASP.

Geometry as Quantum ESPRESSO input:
```
&SYSTEM
  ibrav = 0, nat = 4, ntyp = 3
/
ATOMIC_SPECIES
Tb 158.93 Tb.upf
Zr 91.22 Zr.upf
Fe 55.84 Fe.upf
CELL_PARAMETERS angstrom
1.6318 0.9421 10.7271
-1.6318 0.9421 10.7271
0.0000 -1.8842 10.7271
ATOMIC_POSITIONS crystal
Tb 0.0825 0.0825 0.0825
Tb 0.9175 0.9175 0.9175
Zr 0.5000 0.5000 0.5000
Fe 0.0000 0.0000 0.0000
```

Values from the calculation:
SG: R-3m, No. 166
Formation energy in kJ/mol of formula units: 222

Record 2
Below is crystalline CeThReAg at its relaxed geometry, with properties calculated at the PBE level. Values from VASP.

Geometry as Quantum ESPRESSO input:
```
&SYSTEM
  ibrav = 0, nat = 4, ntyp = 4
/
ATOMIC_SPECIES
Ce 140.12 Ce.upf
Th 232.04 Th.upf
Re 186.21 Re.upf
Ag 107.87 Ag.upf
CELL_PARAMETERS angstrom
0.0000 3.6124 3.6124
3.6124 0.0000 3.6124
3.6124 3.6124 0.0000
ATOMIC_POSITIONS crystal
Ce 0.0000 0.0000 0.0000
Th 0.5000 0.5000 0.5000
Re 0.2500 0.2500 0.2500
Ag 0.7500 0.7500 0.7500
```

Values from the calculation:
SG: F-43m, No. 216
Formation energy in kJ/mol of formula units: 33

Record 3
Below is crystalline ZnCuGe at its relaxed geometry, with properties calculated at the PBE level. Values from VASP.

Geometry as Quantum ESPRESSO input:
```
&SYSTEM
  ibrav = 0, nat = 3, ntyp = 3
/
ATOMIC_SPECIES
Zn 65.41 Zn.upf
Cu 63.55 Cu.upf
Ge 72.64 Ge.upf
CELL_PARAMETERS angstrom
2.4302 -1.4967 0.0000
2.4302 1.4967 0.0000
-0.1812 0.0000 6.4229
ATOMIC_POSITIONS crystal
Zn 0.0000 0.0000 0.0000
Cu 0.6642 0.6642 0.3013
Ge 0.0166 0.0166 0.6053
```

Values from the calculation:
SG: Cm, No. 8
Formation energy in kJ/mol of formula units: 32

Record 4
Below is crystalline KSb3Te at its relaxed geometry, with properties calculated at the PBE level. Values from VASP.

Geometry as Quantum ESPRESSO input:
```
&SYSTEM
  ibrav = 0, nat = 5, ntyp = 3
/
ATOMIC_SPECIES
K 39.10 K.upf
Sb 121.76 Sb.upf
Te 127.60 Te.upf
CELL_PARAMETERS angstrom
5.8607 0.0000 0.0000
0.0000 5.8607 0.0000
0.0000 0.0000 5.8607
ATOMIC_POSITIONS crystal
K 0.0000 0.0000 0.0000
Sb 0.0000 0.0000 0.5000
Sb 0.0000 0.5000 0.0000
Sb 0.5000 0.0000 0.0000
Te 0.5000 0.5000 0.5000
```

Values from the calculation:
SG: Pm-3m, No. 221
Distance to the lowest polymorph of the same formula in eV per atom: 0.9500
Formation energy without anion corrections in kJ per mole of atoms: 129.2

Values of raw total energy, in order: -24.0 -28.3 -9.7 -9.9, all in eV/cell.
Values of density, in order: 7.8 11.7 7.2 4.4, all in g cm⁻³.